# 1
An optimized crystal structure of FePt2Se, computed with PBE-GGA.

a = 9.521 Å, b = 2.944 Å, c = 4.548 Å
α = 90.00°, β = 94.84°, γ = 90.00°
Sites, in units of the cell vectors:
Fe 0.000 0.000 0.000
Fe 0.500 0.500 0.000
Pt 0.227 0.500 0.239
Pt 0.273 0.000 0.761
Pt 0.727 0.000 0.239
Pt 0.773 0.500 0.761
Se 0.000 0.500 0.500
Se 0.500 0.000 0.500

Calculated values
Its density is 13.73 g/cm³. As for the final energy: -47.20 eV/cell. The value obtained for the total magnetic moment is 6.52 μB per cell. For the density of states at the Fermi level, the calculation gives 0.88 states/eV/atom. For the formation energy from raw total energies, the calculation gives 0.107 eV/atom. The crystal system is monoclinic.

# 2
An optimized crystal structure of Ag2BiSe2Br, computed with PBE-GGA.

a = 6.829 Å, b = 7.749 Å, c = 7.054 Å
α = 90.00°, β = 118.77°, γ = 90.00°
Sites, in units of the cell vectors:
Ag 0.003 0.250 0.071
Ag 0.410 0.250 0.913
Ag 0.590 0.750 0.087
Ag 0.997 0.750 0.929
Bi 0.391 0.750 0.503
Bi 0.609 0.250 0.497
Se 0.334 0.502 0.164
Se 0.334 0.998 0.164
Se 0.666 0.002 0.836
Se 0.666 0.498 0.836
Br 0.021 0.250 0.492
Br 0.979 0.750 0.508

Calculated values
Its density is 6.72 g/cm³. As for the final energy: -38.95 eV/cell. The value obtained for the total magnetic moment is 0.00 μB per cell. For the density of states at the Fermi level, the calculation gives 0.08 states/eV/atom. For the formation energy from raw total energies, the calculation gives -0.208 eV/atom. The crystal system is monoclinic.

# 3
An optimized crystal structure of ZrRu2, computed with PBE-GGA.

a = 10.336 Å, b = 2.979 Å, c = 6.693 Å
α = 90.00°, β = 106.22°, γ = 90.00°
Sites, in units of the cell vectors:
Zr 0.027 0.000 0.278
Zr 0.473 0.500 0.722
Zr 0.527 0.500 0.278
Zr 0.973 0.000 0.722
Ru 0.153 0.500 0.026
Ru 0.200 0.500 0.637
Ru 0.300 0.000 0.363
Ru 0.347 0.000 0.974
Ru 0.653 0.000 0.026
Ru 0.700 0.000 0.637
Ru 0.800 0.500 0.363
Ru 0.847 0.500 0.974

Calculated values
The formation energy comes out at -0.16 eV per atom. Its density is 9.85 g/cm³. As for the final energy: -110.30 eV/cell. The value obtained for the total magnetic moment is 0.00 μB per cell. For the density of states at the Fermi level, the calculation gives 1.22 states/eV/atom. The crystal system is monoclinic.

# 4
An optimized crystal structure of GdHf2Th, computed with PBE-GGA.

a = 3.377 Å, b = 3.377 Å, c = 32.593 Å
α = 90.00°, β = 90.00°, γ = 120.00°
Sites, in units of the cell vectors:
Gd 0.000 0.000 0.000
Gd 0.333 0.667 0.667
Gd 0.667 0.333 0.333
Hf 0.000 0.000 0.248
Hf 0.000 0.000 0.752
Hf 0.333 0.667 0.418
Hf 0.333 0.667 0.915
Hf 0.667 0.333 0.085
Hf 0.667 0.333 0.582
Th 0.000 0.000 0.500
Th 0.333 0.667 0.167
Th 0.667 0.333 0.833

Calculated values
Its relative energy among the computed polymorphs is 48.5 meV/atom. The formation energy comes out at 0.23 eV per atom. Its density is 11.55 g/cm³. As for the final energy: -121.49 eV/cell. The value obtained for the total magnetic moment is 21.54 μB per cell. For the density of states at the Fermi level, the calculation gives 1.45 states/eV/atom. The crystal system is trigonal.

# 5
An optimized crystal structure of Mg2FeNi5B2, computed with PBE-GGA.

a = 8.727 Å, b = 8.727 Å, c = 2.910 Å
α = 90.00°, β = 90.00°, γ = 90.00°
Sites, in units of the cell vectors:
Mg 0.177 0.323 0.000
Mg 0.323 0.823 0.000
Mg 0.677 0.177 0.000
Mg 0.823 0.677 0.000
Fe 0.000 0.000 0.000
Fe 0.500 0.500 0.000
Ni 0.000 0.500 0.500
Ni 0.068 0.778 0.500
Ni 0.222 0.068 0.500
Ni 0.278 0.568 0.500
Ni 0.432 0.278 0.500
Ni 0.500 0.000 0.500
Ni 0.568 0.722 0.500
Ni 0.722 0.432 0.500
Ni 0.778 0.932 0.500
Ni 0.932 0.222 0.500
B 0.121 0.621 0.000
B 0.379 0.121 0.000
B 0.621 0.879 0.000
B 0.879 0.379 0.000

Calculated values
The formation energy comes out at -0.25 eV per atom. Its density is 6.29 g/cm³. As for the final energy: -112.75 eV/cell. The value obtained for the total magnetic moment is 7.32 μB per cell. For the density of states at the Fermi level, the calculation gives 0.60 states/eV/atom. The crystal system is tetragonal.

# 6
An optimized crystal structure of NdIClO4, computed with PBE-GGA.

a = 6.438 Å, b = 6.438 Å, c = 6.921 Å
α = 98.13°, β = 98.13°, γ = 70.50°
Sites, in units of the cell vectors:
Nd 0.215 0.215 0.118
Nd 0.785 0.785 0.882
I 0.371 0.371 0.697
I 0.629 0.629 0.303
Cl 0.026 0.026 0.769
Cl 0.974 0.974 0.231
O 0.135 0.489 0.850
O 0.237 0.237 0.473
O 0.449 0.449 0.215
O 0.489 0.135 0.850
O 0.511 0.865 0.150
O 0.551 0.551 0.785
O 0.763 0.763 0.527
O 0.865 0.511 0.150

Calculated values
Its density is 4.62 g/cm³. As for the final energy: -74.33 eV/cell. The value obtained for the total magnetic moment is 2.00 μB per cell. For the density of states at the Fermi level, the calculation gives 0.01 states/eV/atom. For the formation energy from raw total energies, the calculation gives -1.310 eV/atom. The crystal system is monoclinic.

# 7
An optimized crystal structure of Nd4Tl5Sn, computed with PBE-GGA.

a = 7.922 Å, b = 10.252 Å, c = 7.957 Å
α = 90.00°, β = 90.00°, γ = 90.00°
Sites, in units of the cell vectors:
Nd 0.003 0.250 0.196
Nd 0.250 0.562 0.474
Nd 0.250 0.938 0.474
Nd 0.497 0.250 0.196
Nd 0.503 0.750 0.804
Nd 0.750 0.062 0.526
Nd 0.750 0.438 0.526
Nd 0.997 0.750 0.804
Tl 0.058 0.068 0.817
Tl 0.058 0.432 0.817
Tl 0.250 0.750 0.112
Tl 0.442 0.068 0.817
Tl 0.442 0.432 0.817
Tl 0.558 0.568 0.183
Tl 0.558 0.932 0.183
Tl 0.750 0.250 0.888
Tl 0.942 0.568 0.183
Tl 0.942 0.932 0.183
Sn 0.250 0.250 0.519
Sn 0.750 0.750 0.481

Calculated values
The formation energy comes out at -0.14 eV per atom. Its density is 8.83 g/cm³. As for the final energy: -72.54 eV/cell. The value obtained for the total magnetic moment is 0.00 μB per cell. For the density of states at the Fermi level, the calculation gives 0.83 states/eV/atom. The crystal system is orthorhombic.

# 8
An optimized crystal structure of Tm4ScSb2, computed with PBE-GGA.

a = 5.043 Å, b = 5.043 Å, c = 16.235 Å
α = 90.00°, β = 90.00°, γ = 90.00°
Sites, in units of the cell vectors:
Tm 0.000 0.000 0.181
Tm 0.000 0.000 0.819
Tm 0.000 0.500 0.000
Tm 0.000 0.500 0.500
Tm 0.500 0.000 0.000
Tm 0.500 0.000 0.500
Tm 0.500 0.500 0.319
Tm 0.500 0.500 0.681
Sc 0.000 0.000 0.000
Sc 0.500 0.500 0.500
Sb 0.000 0.000 0.365
Sb 0.000 0.000 0.635
Sb 0.500 0.500 0.135
Sb 0.500 0.500 0.865

Calculated values
Its density is 7.76 g/cm³. As for the final energy: -62.85 eV/cell. The value obtained for the total magnetic moment is 0.00 μB per cell. For the density of states at the Fermi level, the calculation gives 0.72 states/eV/atom. For the formation energy from raw total energies, the calculation gives 0.148 eV/atom. The crystal system is tetragonal.

# 9
An optimized crystal structure of Ba2CoSi, computed with PBE-GGA.

a = 7.521 Å, b = 7.521 Å, c = 7.521 Å
α = 90.00°, β = 90.00°, γ = 90.00°
Sites, in units of the cell vectors:
Ba 0.000 0.000 0.000
Ba 0.000 0.500 0.500
Ba 0.250 0.250 0.250
Ba 0.250 0.750 0.750
Ba 0.500 0.000 0.500
Ba 0.500 0.500 0.000
Ba 0.750 0.250 0.750
Ba 0.750 0.750 0.250
Co 0.250 0.250 0.750
Co 0.250 0.750 0.250
Co 0.750 0.250 0.250
Co 0.750 0.750 0.750
Si 0.000 0.000 0.500
Si 0.000 0.500 0.000
Si 0.500 0.000 0.000
Si 0.500 0.500 0.500

Calculated values
Its density is 5.65 g/cm³. As for the final energy: -57.98 eV/cell. The value obtained for the total magnetic moment is 4.04 μB per cell. For the density of states at the Fermi level, the calculation gives 1.94 states/eV/atom. For the formation energy from raw total energies, the calculation gives 0.470 eV/atom. The crystal system is cubic.

# 10
An optimized crystal structure of Ce3Te2S2, computed with PBE-GGA.

a = 15.381 Å, b = 4.414 Å, c = 7.534 Å
α = 90.00°, β = 111.61°, γ = 90.00°
Sites, in units of the cell vectors:
Ce 0.000 0.000 0.000
Ce 0.229 0.500 0.756
Ce 0.271 0.000 0.244
Ce 0.500 0.500 0.000
Ce 0.729 0.000 0.756
Ce 0.771 0.500 0.244
Te 0.124 0.500 0.298
Te 0.376 0.000 0.702
Te 0.624 0.000 0.298
Te 0.876 0.500 0.702
S 0.146 0.000 0.857
S 0.354 0.500 0.143
S 0.646 0.500 0.857
S 0.854 0.000 0.143

Calculated values
Its density is 5.17 g/cm³. As for the final energy: -87.27 eV/cell. The value obtained for the total magnetic moment is 7.76 μB per cell. For the density of states at the Fermi level, the calculation gives 2.95 states/eV/atom. For the formation energy from raw total energies, the calculation gives -1.614 eV/atom. The crystal system is monoclinic.

# 11
An optimized crystal structure of VSeS2Cl, computed with PBE-GGA.

a = 4.647 Å, b = 4.647 Å, c = 4.625 Å
α = 90.00°, β = 90.00°, γ = 90.00°
Sites, in units of the cell vectors:
V 0.000 0.000 0.000
Se 0.500 0.500 0.500
S 0.000 0.500 0.000
S 0.500 0.000 0.000
Cl 0.000 0.000 0.500

Calculated values
Its relative energy among the computed polymorphs is 0.0 meV/atom. Its density is 3.82 g/cm³. As for the final energy: -22.60 eV/cell. The value obtained for the total magnetic moment is 1.79 μB per cell. For the density of states at the Fermi level, the calculation gives 0.78 states/eV/atom. For the formation energy from raw total energies, the calculation gives 0.021 eV/atom. The crystal system is tetragonal.